# LiTaZnCo, relaxed, DFT PBE
data_LiTaZnCo
_cell_length_a 5.919
_cell_length_b 5.919
_cell_length_c 5.919
_cell_angle_alpha 90.00
_cell_angle_beta 90.00
_cell_angle_gamma 90.00
_symmetry_space_group_name_H-M 'F -4 3 m'
_symmetry_Int_Tables_number 216
_symmetry_space_group_name_Hall 'F -4 2 3'
loop_
_atom_site_label
_atom_site_fract_x
_atom_site_fract_y
_atom_site_fract_z
Li1 0.000 0.000 0.000
Ta1 0.250 0.250 0.750
Zn1 0.250 0.250 0.250
Co1 0.000 0.000 0.500
# Electronic total energy ... -5.55 eV per atom
# Energy above the most stable polymorph in this dataset ... 0 meV per atom